VASP calculation (meta-GGA SCAN) on a PBEsol-optimized structure of Mg2BeTe.

Magnetization ... 0.000 μB/f.u.
Formation energy (no corrections) ... 178 meV per atom
Energy above the lowest structure with this stoichiometry ... 0 meV/atom
E ... -12.710 eV per atom

abc: 3.666 4.820 4.820
angles: 105.96 89.90 89.90
Positions (direct):
Mg: 0.000 0.000 0.500
Mg: 0.000 0.500 0.000
Be: 0.500 0.000 0.000
Te: 0.500 0.500 0.500

---

VASP calculation (meta-GGA SCAN) on a PBEsol-optimized structure of HfGeIr.

Magnetization ... 0.000 μB/f.u.
Energy of formation from the pure elements ... -1005 meV/atom
E ... -51.958 eV per atom

abc: 4.007 6.459 7.492
angles: 90.00 90.00 90.00
Positions (direct):
Hf: 0.250 0.523 0.314
Hf: 0.750 0.477 0.686
Hf: 0.750 0.977 0.814
Hf: 0.250 0.023 0.186
Ir: 0.250 0.654 0.937
Ir: 0.750 0.346 0.063
Ir: 0.250 0.154 0.563
Ir: 0.750 0.846 0.437
Ge: 0.250 0.267 0.880
Ge: 0.750 0.733 0.120
Ge: 0.750 0.233 0.380
Ge: 0.250 0.767 0.620

---

VASP calculation (meta-GGA SCAN) on a PBEsol-optimized structure of Mn2H8S3N2O12.

Magnetization ... 9.974 μB/f.u.
E ... -7.164 eV per atom

abc: 10.293 10.293 10.293
angles: 90.00 90.00 90.00
Site moments in Bohr magnetons follow the coordinates.
Positions (direct):
H: 0.222 0.401 0.709  0.00
H: 0.505 0.505 0.505  0.00
H: 0.401 0.599 0.099  0.00
H: 0.005 0.995 0.495  0.00
H: 0.987 0.716 0.588  0.00
H: 0.487 0.784 0.412  0.00
H: 0.495 0.005 0.995  0.00
H: 0.599 0.099 0.401  0.00
H: 0.099 0.291 0.722  0.00
H: 0.784 0.412 0.487  0.00
H: 0.278 0.599 0.209  0.00
H: 0.013 0.216 0.912  0.00
H: 0.216 0.912 0.013  0.00
H: 0.284 0.088 0.513  0.00
H: 0.412 0.487 0.784  0.00
H: 0.709 0.222 0.401  0.00
H: 0.401 0.709 0.222  0.00
H: 0.995 0.495 0.005  0.00
H: 0.791 0.778 0.901  0.00
H: 0.588 0.987 0.716  0.00
H: 0.099 0.401 0.599  0.00
H: 0.291 0.722 0.099  0.00
H: 0.901 0.901 0.901  0.00
H: 0.912 0.013 0.216  0.00
H: 0.513 0.284 0.088  0.00
H: 0.722 0.099 0.291  0.00
H: 0.209 0.278 0.599  0.00
H: 0.778 0.901 0.791  0.00
H: 0.716 0.588 0.987  0.00
H: 0.088 0.513 0.284  0.00
H: 0.599 0.209 0.278  0.00
H: 0.901 0.791 0.778  0.00
O: 0.124 0.500 0.064  0.07
O: 0.035 0.173 0.826  0.03
O: 0.173 0.376 0.055  0.34
O: 0.674 0.965 0.673  0.03
O: 0.906 0.141 0.779  0.05
O: 0.064 0.124 0.500  0.07
O: 0.327 0.174 0.535  0.03
O: 0.000 0.436 0.876  0.07
O: 0.436 0.876 0.000  0.07
O: 0.055 0.173 0.376  0.34
O: 0.376 0.055 0.173  0.34
O: 0.673 0.674 0.965  0.03
O: 0.876 0.000 0.436  0.07
O: 0.500 0.064 0.124  0.07
O: 0.827 0.326 0.465  0.03
O: 0.721 0.094 0.641  0.05
O: 0.624 0.555 0.327  0.34
O: 0.876 0.445 0.827  0.34
O: 0.827 0.876 0.445  0.34
O: 0.673 0.124 0.945  0.34
O: 0.641 0.721 0.094  0.05
O: 0.564 0.376 0.500  0.07
O: 0.094 0.641 0.721  0.05
O: 0.406 0.359 0.221  0.05
O: 0.779 0.906 0.141  0.05
O: 0.124 0.945 0.673  0.34
O: 0.965 0.673 0.674  0.03
O: 0.936 0.624 0.000  0.07
O: 0.327 0.624 0.555  0.34
O: 0.359 0.221 0.406  0.05
O: 0.465 0.827 0.326  0.03
O: 0.376 0.500 0.564  0.07
O: 0.000 0.936 0.624  0.07
O: 0.535 0.327 0.174  0.03
O: 0.174 0.535 0.327  0.03
O: 0.279 0.594 0.859  0.05
O: 0.326 0.465 0.827  0.03
O: 0.555 0.327 0.624  0.34
O: 0.594 0.859 0.279  0.05
O: 0.445 0.827 0.876  0.34
O: 0.945 0.673 0.124  0.34
O: 0.859 0.279 0.594  0.05
O: 0.221 0.406 0.359  0.05
O: 0.141 0.779 0.906  0.05
O: 0.173 0.826 0.035  0.03
O: 0.500 0.564 0.376  0.07
O: 0.826 0.035 0.173  0.03
O: 0.624 0.000 0.936  0.07
Mn: 0.232 0.232 0.232  4.50
Mn: 0.600 0.900 0.100  2.97
Mn: 0.900 0.100 0.600  2.97
Mn: 0.400 0.400 0.400  2.97
Mn: 0.732 0.268 0.768  4.50
Mn: 0.768 0.732 0.268  4.50
Mn: 0.100 0.600 0.900  2.97
Mn: 0.268 0.768 0.732  4.50
N: 0.120 0.880 0.380  -0.08
N: 0.844 0.844 0.844  0.00
N: 0.880 0.380 0.120  -0.08
N: 0.620 0.620 0.620  -0.08
N: 0.344 0.656 0.156  0.00
N: 0.156 0.344 0.656  0.00
N: 0.656 0.156 0.344  0.00
N: 0.380 0.120 0.880  -0.08
S: 0.249 0.892 0.482  0.15
S: 0.251 0.108 0.982  0.15
S: 0.892 0.482 0.249  0.15
S: 0.482 0.249 0.892  0.15
S: 0.392 0.018 0.751  0.15
S: 0.749 0.608 0.518  0.15
S: 0.608 0.518 0.749  0.15
S: 0.108 0.982 0.251  0.15
S: 0.751 0.392 0.018  0.15
S: 0.018 0.751 0.392  0.15
S: 0.518 0.749 0.608  0.15
S: 0.982 0.251 0.108  0.15

---

VASP calculation (meta-GGA SCAN) on a PBEsol-optimized structure of Tl2SbPb.

Magnetization ... 0.000 μB/f.u.
Formation energy (no corrections) ... 37 meV per atom
Energy above the lowest structure with this stoichiometry ... 32 meV/atom
E ... -64.402 eV per atom

abc: 3.286 5.850 6.228
angles: 96.24 90.00 106.31
Positions (direct):
Tl: 0.250 0.499 0.754
Tl: 0.003 0.006 0.000
Sb: 0.749 0.497 0.254
Pb: 0.499 0.997 0.492